[1]
DyZn2SiIr2 | Alexandria via LeMat-Bulk | PBE | relaxed; energy relative to the elements, uncorrected = -240 meV/atom
1.0
-2.813 -1.125 -3.299
-0.865 -3.882 2.061
-4.207 2.406 2.767
Zn Dy Ir Si
2 1 2 1
Cartesian
-3.003 -1.838 0.146
-4.882 -0.763 1.382
-2.103 1.203 1.383
-1.407 -0.562 -1.650
-0.433 -1.941 1.030
0.000 0.000 0.000


[2]
SrCa2YOs | Alexandria via LeMat-Bulk | PBE | relaxed; E_form = 0.659 eV per formula unit
1.0
5.723 0.000 0.000
0.000 5.723 0.000
0.000 0.000 5.422
Ca Os Sr Y
2 1 1 1
Cartesian
2.861 0.000 0.000
0.000 2.861 0.000
0.000 0.000 0.000
2.861 2.861 2.711
0.000 0.000 2.711